Entry 1:
Compound: LiAlFeNi
Source: Alexandria
Functional: PBE-GGA
Structure: optimized geometry Values from VASP.

Quantum ESPRESSO input file:
```
&SYSTEM
  ibrav = 0, nat = 16, ntyp = 4
/
ATOMIC_SPECIES
Li 6.94 Li.upf
Al 26.98 Al.upf
Fe 55.84 Fe.upf
Ni 58.69 Ni.upf
ATOMIC_POSITIONS angstrom
Li 0.0000 0.0000 0.0000
Li 0.0000 2.8950 2.8950
Li 2.8950 0.0000 2.8950
Li 2.8950 2.8950 0.0000
Al 1.4475 1.4475 4.3425
Al 1.4475 4.3425 1.4475
Al 4.3425 1.4475 1.4475
Al 4.3425 4.3425 4.3425
Fe 1.4475 1.4475 1.4475
Fe 1.4475 4.3425 4.3425
Fe 4.3425 1.4475 4.3425
Fe 4.3425 4.3425 1.4475
Ni 0.0000 0.0000 2.8950
Ni 0.0000 2.8950 0.0000
Ni 2.8950 0.0000 0.0000
Ni 2.8950 2.8950 2.8950
CELL_PARAMETERS angstrom
5.7899 0.0000 0.0000
0.0000 5.7899 0.0000
0.0000 0.0000 5.7899
```

Results
Formation enthalpy at 0 K: -17.36 kJ/mol of atoms
Energy: -5.16 eV/atom
Spin magnetization: 13.318 μB per cell

***

Entry 2:
Compound: Er4Hg5Au2
Source: Alexandria
Functional: PBE-GGA
Structure: optimized geometry Values from VASP.

Quantum ESPRESSO input file:
```
&SYSTEM
  ibrav = 0, nat = 11, ntyp = 3
/
ATOMIC_SPECIES
Er 167.26 Er.upf
Hg 200.59 Hg.upf
Au 196.97 Au.upf
ATOMIC_POSITIONS angstrom
Er 1.0519 0.0000 3.6131
Er 0.9852 0.0000 9.1539
Er 5.8188 0.0000 0.6299
Er 5.7522 0.0000 6.1707
Hg 0.7120 1.7622 6.3005
Hg 3.4062 1.7622 1.7534
Hg 3.4020 1.7622 4.8919
Hg 3.3979 1.7622 8.0304
Hg 6.0920 1.7622 3.4833
Au 0.4580 1.7622 1.3471
Au 6.3460 1.7622 8.4367
CELL_PARAMETERS angstrom
7.7172 0.0000 0.0000
0.0000 3.5243 0.0000
-0.9132 0.0000 9.7838
```

Results
Formation enthalpy at 0 K: -50.64 kJ/mol of atoms
Energy: -2.92 eV/atom
Spin magnetization: 0.000 μB per cell

***

Entry 3:
Compound: Tb2Ho6Zr
Source: Alexandria
Functional: PBE-GGA
Structure: optimized geometry Values from VASP.

Quantum ESPRESSO input file:
```
&SYSTEM
  ibrav = 0, nat = 9, ntyp = 3
/
ATOMIC_SPECIES
Tb 158.93 Tb.upf
Ho 164.93 Ho.upf
Zr 91.22 Zr.upf
ATOMIC_POSITIONS angstrom
Tb 0.0000 0.0000 4.5096
Tb 0.0000 0.0000 21.2112
Ho 0.0000 0.0000 10.2754
Ho 0.0000 0.0000 15.4454
Ho 1.7612 1.0168 1.6955
Ho 1.7612 1.0168 7.3938
Ho 1.7612 1.0168 18.3270
Ho 1.7612 1.0168 24.0254
Zr 1.7612 1.0168 12.8604
CELL_PARAMETERS angstrom
3.5224 0.0000 0.0000
-1.7612 3.0505 0.0000
0.0000 0.0000 25.7208
```

Results
Formation enthalpy at 0 K: 7.21 kJ/mol of atoms
Energy: -4.96 eV/atom
Spin magnetization: 1.031 μB per cell